# 1
Compound: SbIrCl
Source: Alexandria
Functional: PBEsol
Structure: optimized geometry

Values from the calculation:
DOS at the Fermi energy = 0.85 states/eV/atom
energy relative to the elements, uncorrected = 0.1846 eV per atom

Cell lengths 4.4497, 4.4568, 11.9441 Å; angles 90.00, 90.00, 90.00 degrees
Space group Fmm2 (No. 42)
Inequivalent atoms, fractional coordinates:
Sb (0.0000, 0.0000, 0.0000) (multiplicity 4)
Ir (0.0000, 0.0000, 0.6294) (multiplicity 4)
Cl (0.0000, 0.0000, 0.2782) (multiplicity 4)

---

# 2
Compound: CuAgPt2
Source: Alexandria
Functional: PBEsol
Structure: optimized geometry

Values from the calculation:
DOS at the Fermi energy = 0.97 states/eV/atom
energy relative to the elements = -0.0169 eV/atom

Cell lengths 2.7570, 2.7570, 7.6038 Å; angles 90.00, 90.00, 90.00 degrees
Space group P4mm (No. 99)
Inequivalent atoms, fractional coordinates:
Cu (0.0000, 0.0000, 0.0000) (multiplicity 1)
Ag (0.5000, 0.5000, 0.7584) (multiplicity 1)
Pt (0.0000, 0.0000, 0.4872) (multiplicity 1)
Pt (0.5000, 0.5000, 0.2268) (multiplicity 1)

---

# 3
Compound: Ba2BeCd
Source: Alexandria
Functional: PBEsol
Structure: optimized geometry

Values from the calculation:
DOS at the Fermi energy = 0.83 states/eV/atom
energy relative to the elements = 0.2743 eV/atom

Cell lengths 3.6742, 3.6742, 9.5216 Å; angles 90.00, 90.00, 90.00 degrees
Space group P4mm (No. 99)
Inequivalent atoms, fractional coordinates:
Ba (0.0000, 0.0000, 0.0000) (multiplicity 1)
Ba (0.5000, 0.5000, 0.4013) (multiplicity 1)
Be (0.5000, 0.5000, 0.7637) (multiplicity 1)
Cd (0.0000, 0.0000, 0.6527) (multiplicity 1)

---

# 4
Compound: SbPtSe2
Source: Alexandria
Functional: PBEsol
Structure: optimized geometry

Values from the calculation:
DOS at the Fermi energy = 0.67 states/eV/atom
energy relative to the elements, uncorrected = -0.2021 eV per atom

Cell lengths 3.8486, 3.8486, 19.7696 Å; angles 90.00, 90.00, 120.00 degrees
Space group R3m (No. 160, hexagonal axes)
Inequivalent atoms, fractional coordinates:
Sb (0.0000, 0.0000, 0.0000) (multiplicity 3)
Pt (0.0000, 0.0000, 0.2576) (multiplicity 3)
Se (0.0000, 0.0000, 0.5268) (multiplicity 3)
Se (0.0000, 0.0000, 0.7573) (multiplicity 3)

---

# 5
Compound: ZrCl3O
Source: Alexandria
Functional: PBEsol
Structure: optimized geometry

Values from the calculation:
DOS at the Fermi energy = 1.97 states/eV/atom
energy relative to the elements, uncorrected = -0.7109 eV per atom

Cell lengths 4.9105, 4.9105, 4.9105 Å; angles 90.00, 90.00, 90.00 degrees
Space group Pm-3m (No. 221)
Inequivalent atoms, fractional coordinates:
Zr (0.0000, 0.0000, 0.0000) (multiplicity 1)
Cl (0.0000, 0.0000, 0.5000) (multiplicity 3)
O (0.5000, 0.5000, 0.5000) (multiplicity 1)

---

# 6
Compound: La2Cu2O5
Source: Alexandria
Functional: PBEsol
Structure: optimized geometry

Values from the calculation:
DOS at the Fermi energy = 0.22 states/eV/atom
energy relative to the elements, uncorrected = -2.1541 eV per atom

Cell lengths 3.7209, 7.1182, 13.6791 Å; angles 76.05, 83.20, 75.11 degrees
Space group P-1 (No. 2)
Inequivalent atoms, fractional coordinates:
La (0.0435, 0.2463, 0.1951) (multiplicity 2)
La (0.1255, 0.7248, 0.5368) (multiplicity 2)
La (0.2375, 0.6928, 0.2691) (multiplicity 2)
Cu (0.2720, 0.0185, 0.9217) (multiplicity 2)
Cu (0.4273, 0.0139, 0.6385) (multiplicity 2)
Cu (0.4481, 0.3703, 0.9415) (multiplicity 2)
O (0.0732, 0.9835, 0.3622) (multiplicity 2)
O (0.1802, 0.4091, 0.8238) (multiplicity 2)
O (0.2633, 0.9117, 0.0725) (multiplicity 2)
O (0.2788, 0.3724, 0.5823) (multiplicity 2)
O (0.3481, 0.0244, 0.7790) (multiplicity 2)
O (0.3858, 0.3405, 0.3259) (multiplicity 2)
O (0.4330, 0.6608, 0.9234) (multiplicity 2)
O (0.5000, 0.0000, 0.5000) (multiplicity 1)

---

# 7
Compound: SiOsCl2
Source: Alexandria
Functional: PBEsol
Structure: optimized geometry

Values from the calculation:
DOS at the Fermi energy = 0.15 states/eV/atom
energy relative to the elements, uncorrected = -0.1985 eV per atom

Cell lengths 2.8870, 3.5622, 8.0443 Å; angles 90.00, 90.00, 90.00 degrees
Space group Pmm2 (No. 25)
Inequivalent atoms, fractional coordinates:
Si (0.0000, 0.0000, 0.0000) (multiplicity 1)
Os (0.5000, 0.5000, 0.8945) (multiplicity 1)
Cl (0.0000, 0.0000, 0.2569) (multiplicity 1)
Cl (0.5000, 0.5000, 0.6199) (multiplicity 1)

---

# 8
Compound: Cs2CaReCl
Source: Alexandria
Functional: PBEsol
Structure: optimized geometry

Values from the calculation:
DOS at the Fermi energy = 0.95 states/eV/atom
energy relative to the elements, uncorrected = 0.7185 eV per atom

Cell lengths 6.5670, 6.5670, 4.4103 Å; angles 90.00, 90.00, 90.00 degrees
Space group P4/mmm (No. 123)
Inequivalent atoms, fractional coordinates:
Cs (0.0000, 0.5000, 0.0000) (multiplicity 2)
Ca (0.0000, 0.0000, 0.5000) (multiplicity 1)
Re (0.5000, 0.5000, 0.5000) (multiplicity 1)
Cl (0.5000, 0.5000, 0.0000) (multiplicity 1)